Entry 1:
## Mn2CdFe (meta-GGA SCAN)

Data for a crystal of Mn2CdFe relaxed with PBEsol.

* calculated volume: 56.6 Å³/f.u.
* SG: I4/mmm
* energy relative to the elements: 0.1012 eV/atom

abc: 3.8713 3.8713 4.6619
angles: 114.53 114.53 90.00
Last column: nearest neighbours and their distance in Å.
Positions (direct):
Mn 0.2500 0.7500 0.5000  4 Cd 2.70, 4 Fe 2.70, 4 Mn 2.74
Mn 0.7500 0.2500 0.5000  4 Cd 2.70, 4 Fe 2.70, 4 Mn 2.74
Cd 0.5000 0.5000 0.0000  8 Mn 2.70, 4 Fe 2.74
Fe 0.0000 0.0000 0.0000  8 Mn 2.70, 4 Cd 2.74

Entry 2:
## MnCd2Fe (meta-GGA SCAN)

Data for a crystal of MnCd2Fe relaxed with PBEsol.

* calculated volume: 62.3 Å³/f.u.
* excess energy over the best structure of this formula in the dataset: 0.000 eV per atom
* SG: Pmmm
* energy relative to the elements: 0.1490 eV/atom

abc: 2.8208 3.9262 5.6272
angles: 90.00 90.07 90.00
Last column: nearest neighbours and their distance in Å.
Positions (direct):
Cd 0.0002 0.0000 0.7530  4 Cd 2.78-2.85, 4 Fe 2.79, 4 Mn 2.80-2.81
Cd 0.9998 0.0000 0.2470  4 Cd 2.78-2.85, 4 Fe 2.79, 4 Mn 2.80-2.81
Fe 0.5000 0.5000 0.0000  8 Cd 2.79, 2 Mn 2.81, 2 Fe 2.82
Mn 0.5000 0.5000 0.5000  8 Cd 2.80-2.81, 2 Fe 2.81, 2 Mn 2.82

Entry 3:
## CdFeMo (meta-GGA SCAN)

Data for a crystal of CdFeMo relaxed with PBEsol.

* calculated volume: 54.6 Å³/f.u.
* SG: F-43m
* energy relative to the elements: 1.3055 eV/atom

abc: 4.2592 4.2592 4.2592
angles: 60.00 60.00 60.00
Last column: nearest neighbours and their distance in Å.
Positions (direct):
Fe 0.0000 0.0000 0.0000  4 Cd 2.61
Cd 0.2500 0.2500 0.2500  4 Mo 2.61, 4 Fe 2.61
Mo 0.5000 0.5000 0.5000  4 Cd 2.61

| no. | total DFT energy (no corrections) (eV per atom) |
| --- | --- |
| 1 | -21.16 |
| 2 | -24.15 |
| 3 | -26.50 |